First-principles (PBE) data for a geometry-optimized Na4Tl3Hg5 structure, as listed in the Alexandria database.

```
Na4Tl3Hg5
1.0
-2.103 -5.897 1.737
-0.190 6.498 -7.667
8.127 -8.255 5.678
Hg Tl Na
5 3 4
direct
0.339 0.674 0.870
0.500 0.000 0.500
0.462 0.807 0.162
0.538 0.193 0.838
0.661 0.326 0.130
0.000 0.000 0.500
0.258 0.538 0.542
0.742 0.462 0.458
0.010 0.872 0.178
0.153 0.343 0.171
0.847 0.657 0.829
0.990 0.128 0.822
```

Computed properties:
The density of states at the Fermi level comes out at 4.636 states/eV per cell. The calculation puts the formation energy at -0.161 eV/atom. The space group is No. 2. The value obtained for the energy above the most stable polymorph in this dataset is 0.000 eV/atom.

First-principles (PBE) data for a geometry-optimized GaRhW3 structure, as listed in the Alexandria database.

```
GaRhW3
1.0
-1.562 -3.726 2.413
4.439 -1.329 0.822
0.030 2.549 3.956
Ga W Rh
1 3 1
direct
0.500 0.500 0.500
0.000 0.000 0.500
0.500 0.000 0.000
0.000 0.500 0.000
0.000 0.000 0.000
```

Computed properties:
The density of states at the Fermi level comes out at 7.357 states/eV per cell. The calculation puts the formation energy at 1.959 eV/atom. The space group is No. 221. The value obtained for the energy above the most stable polymorph in this dataset is 0.113 eV/atom.

First-principles (PBE) data for a geometry-optimized Be2CdPt structure, as listed in the Alexandria database.

```
Be2CdPt
1.0
-1.003 -1.408 -3.792
-1.231 -3.615 1.668
-8.322 0.333 -0.213
Be Pt Cd
4 2 2
direct
0.875 0.125 0.750
0.875 0.125 0.250
0.875 0.625 0.250
0.375 0.125 0.750
0.000 0.000 0.000
0.750 0.250 0.500
0.500 0.500 0.000
0.250 0.750 0.500
```

Computed properties:
The density of states at the Fermi level comes out at 1.956 states/eV per cell. The calculation puts the formation energy at 0.066 eV/atom. The space group is No. 141.